1.
# La9HoIn2

A relaxed structure of La9HoIn2 (GGA-PBE, the Alexandria database).

Total magnetization: 0.00 μB/f.u.
Energy: -4.721 eV/atom

```
data_La9HoIn2
_chemical_formula_sum 'La9 Ho1 In2'
_cell_length_a 5.094
_cell_length_b 5.094
_cell_length_c 15.474
_cell_angle_alpha 90.00
_cell_angle_beta 90.00
_cell_angle_gamma 90.00
_symmetry_space_group_name_H-M 'P 4/m m m'
_symmetry_Int_Tables_number 123
_symmetry_space_group_name_Hall '-P 4 2'
loop_
_atom_site_label
_atom_site_type_symbol
_atom_site_fract_x
_atom_site_fract_y
_atom_site_fract_z
La1 La 0.000 0.000 0.000
La2 La 0.000 0.000 0.336
La3 La 0.000 0.500 0.172
La4 La 0.000 0.500 0.500
Ho1 Ho 0.500 0.500 0.000
In1 In 0.500 0.500 0.337
```

=====

2.
# La3Ho5In2

A relaxed structure of La3Ho5In2 (GGA-PBE, the Alexandria database).

Total magnetization: 0.00 μB/f.u.
Energy: -4.301 eV/atom

```
data_La3Ho5In2
_chemical_formula_sum 'La12 Ho20 In8'
_cell_length_a 13.054
_cell_length_b 15.621
_cell_length_c 6.501
_cell_angle_alpha 90.00
_cell_angle_beta 90.00
_cell_angle_gamma 90.00
_symmetry_space_group_name_H-M 'I b a m'
_symmetry_Int_Tables_number 72
_symmetry_space_group_name_Hall '-I 2 2c'
loop_
_atom_site_label
_atom_site_type_symbol
_atom_site_fract_x
_atom_site_fract_y
_atom_site_fract_z
La1 La 0.000 0.000 0.250
La2 La 0.122 0.239 0.000
Ho1 Ho 0.000 0.500 0.250
Ho2 Ho 0.115 0.337 0.500
Ho3 Ho 0.245 0.500 0.250
In1 In 0.141 0.147 0.500
```

=====

3.
# La12Ho7In

A relaxed structure of La12Ho7In (GGA-PBE, the Alexandria database).

Total magnetization: 1.18 μB/f.u.
Energy: -4.091 eV/atom

```
data_La12Ho7In
_chemical_formula_sum 'La24 Ho14 In2'
_cell_length_a 11.718
_cell_length_b 11.718
_cell_length_c 11.718
_cell_angle_alpha 90.00
_cell_angle_beta 90.00
_cell_angle_gamma 90.00
_symmetry_space_group_name_H-M 'I m -3'
_symmetry_Int_Tables_number 204
_symmetry_space_group_name_Hall '-I 2 2 3'
loop_
_atom_site_label
_atom_site_type_symbol
_atom_site_fract_x
_atom_site_fract_y
_atom_site_fract_z
La1 La 0.000 0.225 0.227
Ho1 Ho 0.000 0.000 0.500
Ho2 Ho 0.250 0.250 0.250
In1 In 0.000 0.000 0.000
```

=====

4.
# LaHo2In

A relaxed structure of LaHo2In (GGA-PBE, the Alexandria database).

Total magnetization: 0.00 μB/f.u.
Relative energy among the computed polymorphs: 0.07 eV/f.u.
Energy: -4.438 eV/atom

```
data_LaHo2In
_chemical_formula_sum 'La1 Ho2 In1'
_cell_length_a 3.624
_cell_length_b 3.624
_cell_length_c 9.231
_cell_angle_alpha 90.00
_cell_angle_beta 90.00
_cell_angle_gamma 90.00
_symmetry_space_group_name_H-M 'P 4/m m m'
_symmetry_Int_Tables_number 123
_symmetry_space_group_name_Hall '-P 4 2'
loop_
_atom_site_label
_atom_site_type_symbol
_atom_site_fract_x
_atom_site_fract_y
_atom_site_fract_z
La1 La 0.000 0.000 0.000
Ho1 Ho 0.500 0.500 0.281
In1 In 0.000 0.000 0.500
```

=====

The E_form results, record by record, are as follows: -2.251 0.137 12.095 -0.931 eV/f.u..